The following is a DFT calculation (PBE-GGA) of a relaxed CdHg2HAu crystal.

Properties
Its crystal system is tetragonal. The value obtained for the magnetic moment is 0.0 Bohr magnetons per cell. As for the uncorrected energy: -1.52 eV per atom.

a b c (Å): 5.6795 5.6795 3.4803
angles (deg): 90.00 90.00 90.00
With the nearest neighbours (Å) after each atom.
Element x y z (fractional)
Cd  0.0000  0.0000  0.0000  8 Hg 3.33, 2 Cd 3.48
Hg  0.0000  0.5000  0.5000  2 Au 2.84
Hg  0.5000  0.0000  0.5000  2 Au 2.84
H  0.5000  0.5000  0.0000  2 Au 1.74
Au  0.5000  0.5000  0.5000  2 H 1.74